A relaxed structure of Sc2SbBr. Source: Alexandria, functional PBE-GGA.

Structure (CIF):
```
data_Sc2SbBr
_symmetry_space_group_name_H-M 'P 4 m m'
_symmetry_Int_Tables_number 99
_cell_length_a 3.376
_cell_length_b 3.376
_cell_length_c 9.486
_cell_angle_alpha 90.00
_cell_angle_beta 90.00
_cell_angle_gamma 90.00
loop_
_symmetry_equiv_pos_as_xyz
'x,y,z'
'-y,x,z'
'-x,-y,z'
'y,-x,z'
'-x,y,z'
'y,x,z'
'x,-y,z'
'-y,-x,z'
loop_
_atom_site_label
_atom_site_fract_x
_atom_site_fract_y
_atom_site_fract_z
Sc1 0.000 0.000 0.000
Sc2 0.500 0.500 0.242
Sb1 0.500 0.500 0.786
Br1 0.000 0.000 0.405
```

Results
The calculation puts the total magnetization at 0.5 μB/cell. The value obtained for the formation energy (no corrections) is -0.6535 eV per atom. Its total energy is -5.268 eV/atom. Its offset from the most stable computed form is 18.3 kJ/mol of atoms. For the volume, the calculation gives 27.02 A^3/atom. The value obtained for the density is 4.48 Mg/m³.



A relaxed structure of AcDy2Y. Source: Alexandria, functional PBE-GGA.

Structure (CIF):
```
data_AcDy2Y
_symmetry_space_group_name_H-M 'F m -3 m'
_symmetry_Int_Tables_number 225
_symmetry_space_group_name_Hall '-F 4 2 3'
_cell_length_a 8.254
_cell_length_b 8.254
_cell_length_c 8.254
_cell_angle_alpha 90.00
_cell_angle_beta 90.00
_cell_angle_gamma 90.00
loop_
_atom_site_label
_atom_site_fract_x
_atom_site_fract_y
_atom_site_fract_z
Ac1 0.000 0.000 0.000
Dy1 0.250 0.250 0.250
Y1 0.000 0.000 0.500
```

Results
The calculation puts the total magnetization at 0.0 μB/cell. Its total energy is -4.808 eV/atom. Its offset from the most stable computed form is 7.6 kJ/mol of atoms. As for the formation energy: 0.14 eV/atom. For the volume, the calculation gives 35.15 A^3/atom. The value obtained for the density is 7.57 Mg/m³.



A relaxed structure of SiSeSN. Source: Alexandria, functional PBE-GGA.

Structure (CIF):
```
data_SiSeSN
_symmetry_space_group_name_H-M 'P 1'
_symmetry_Int_Tables_number 1
_cell_length_a 3.050
_cell_length_b 3.281
_cell_length_c 7.447
_cell_angle_alpha 77.38
_cell_angle_beta 89.81
_cell_angle_gamma 89.95
loop_
_symmetry_equiv_pos_as_xyz
'x,y,z'
loop_
_atom_site_label
_atom_site_fract_x
_atom_site_fract_y
_atom_site_fract_z
Si1 0.000 0.000 0.000
Se1 0.503 0.192 0.614
S1 0.999 0.405 0.191
N1 0.501 0.062 0.875
```

Results
The calculation puts the total magnetization at 0.0 μB/cell. The value obtained for the formation energy (no corrections) is -0.1365 eV per atom. Its total energy is -5.477 eV/atom. Its offset from the most stable computed form is 0.0 kJ/mol of atoms. For the volume, the calculation gives 18.18 A^3/atom. The value obtained for the density is 3.50 Mg/m³.



A relaxed structure of MnSb2Se. Source: Alexandria, functional PBE-GGA.

Structure (CIF):
```
data_MnSb2Se
_symmetry_space_group_name_H-M 'A m m 2'
_symmetry_Int_Tables_number 38
_cell_length_a 4.061
_cell_length_b 5.757
_cell_length_c 8.596
_cell_angle_alpha 90.00
_cell_angle_beta 90.00
_cell_angle_gamma 90.00
loop_
_symmetry_equiv_pos_as_xyz
'x,y,z'
'-x,-y,z'
'-x,y,z'
'x,-y,z'
'x,y+1/2,z+1/2'
'-x,-y+1/2,z+1/2'
'-x,y+1/2,z+1/2'
'x,-y+1/2,z+1/2'
loop_
_atom_site_label
_atom_site_fract_x
_atom_site_fract_y
_atom_site_fract_z
Mn1 0.000 0.000 0.000
Sb1 0.000 0.000 0.509
Sb2 0.500 0.000 0.261
Se1 0.500 0.000 0.814
```

Results
The calculation puts the total magnetization at 9.0 μB/cell. The value obtained for the formation energy (no corrections) is 0.0133 eV per atom. Its total energy is -5.211 eV/atom. For the volume, the calculation gives 25.12 A^3/atom. The value obtained for the density is 6.24 Mg/m³.



A relaxed structure of NaVCo2Pd. Source: Alexandria, functional PBE-GGA.

Structure (CIF):
```
data_NaVCo2Pd
_symmetry_space_group_name_H-M 'P 4/m m m'
_symmetry_Int_Tables_number 123
_symmetry_space_group_name_Hall '-P 4 2'
_cell_length_a 4.222
_cell_length_b 4.222
_cell_length_c 4.366
_cell_angle_alpha 90.00
_cell_angle_beta 90.00
_cell_angle_gamma 90.00
loop_
_atom_site_label
_atom_site_fract_x
_atom_site_fract_y
_atom_site_fract_z
Na1 0.000 0.000 0.000
V1 0.500 0.500 0.500
Co1 0.000 0.500 0.000
Pd1 0.000 0.000 0.500
```

Results
The calculation puts the total magnetization at 0.0 μB/cell. Its total energy is -4.143 eV/atom. As for the formation energy: 1.83 eV/atom. For the volume, the calculation gives 15.57 A^3/atom. The value obtained for the density is 6.36 Mg/m³.



A relaxed structure of Sm4ErAl2. Source: Alexandria, functional PBE-GGA.

Structure (CIF):
```
data_Sm4ErAl2
_symmetry_space_group_name_H-M 'R -3 m'
_symmetry_Int_Tables_number 166
_symmetry_space_group_name_Hall '-R 3 2"'
_cell_length_a 5.1001
_cell_length_b 5.1001
_cell_length_c 30.4706
_cell_angle_alpha 90.00
_cell_angle_beta 90.00
_cell_angle_gamma 120.00
loop_
_atom_site_label
_atom_site_fract_x
_atom_site_fract_y
_atom_site_fract_z
Sm1 0.0000 0.0000 0.1043
Sm2 0.0000 0.0000 0.2978
Er1 0.0000 0.0000 0.5000
Al1 0.0000 0.0000 0.4014
```

Results
The calculation puts the total magnetization at 0.0 μB/cell. Its total energy is -4.311 eV/atom. Its offset from the most stable computed form is 27.7 kJ/mol of atoms. As for the formation energy: 0.11 eV/atom. For the volume, the calculation gives 32.69 A^3/atom. The value obtained for the density is 5.97 Mg/m³.